TbPd3Au3: relaxed, PBE-GGA.

It has space group P2/m (No. 10), with a = 6.5686 Å, b = 6.1397 Å, c = 6.6126 Å, α = 90.00°, β = 92.09° and γ = 90.00°. The inequivalent atoms are Tb at (0.2300, 0.0000, 0.2305), Pd at (0.0000, 0.2570, 0.5000), Pd at (0.5000, 0.2559, 0.0000), Pd at (0.5000, 0.2678, 0.5000), Au at (0.2174, 0.5000, 0.2169), Au at (0.2259, 0.5000, 0.7746) and Au at (0.2519, 0.0000, 0.7479).

The total energy comes out at -65.961 eV for the cell shown. The calculated volume comes out at 266.5 Å³ per cell. The value obtained for the energy above the lowest structure with this stoichiometry is 57.8 meV per atom. The formation energy is -0.420 eV/atom.

=====

TbPd3Au6: relaxed, PBE-GGA.

It has space group Cmc2_1 (No. 36), with a = 7.8722 Å, b = 17.6518 Å, c = 5.3563 Å, α = 90.00°, β = 90.00° and γ = 90.00°. The inequivalent atoms are Tb at (0.0000, 0.1539, 0.0000), Pd at (0.0000, 0.3955, 0.2153), Pd at (0.1796, 0.1194, 0.5063), Au at (0.0000, 0.0027, 0.7779), Au at (0.0000, 0.3275, 0.7505), Au at (0.1812, 0.4658, 0.5847) and Au at (0.1890, 0.2667, 0.3306).

The total energy comes out at -170.785 eV for the cell shown. The calculated volume comes out at 744.3 Å³ per cell. The value obtained for the energy above the lowest structure with this stoichiometry is 60.2 meV per atom. The formation energy is -0.282 eV/atom.

=====

TbPdAu3: relaxed, PBE-GGA.

It has space group P2_1/c (No. 14), with a = 7.5482 Å, b = 5.8145 Å, c = 9.2239 Å, α = 90.00°, β = 108.18° and γ = 90.00°. The inequivalent atoms are Tb at (0.2079, 0.0035, 0.3033), Pd at (0.3848, 0.2482, 0.5960), Au at (0.0022, 0.7498, 0.0003), Au at (0.2382, 0.5016, 0.3113) and Au at (0.3963, 0.7503, 0.0983).

The total energy comes out at -90.632 eV for the cell shown. The calculated volume comes out at 384.6 Å³ per cell. The value obtained for the energy above the lowest structure with this stoichiometry is 0.0 meV per atom. The formation energy is -0.601 eV/atom.

=====

Tb2Pd4Au: relaxed, PBE-GGA.

It has space group I4/mmm (No. 139), with a = 3.9841 Å, b = 3.9841 Å, c = 18.1268 Å, α = 90.00°, β = 90.00° and γ = 90.00°. The inequivalent atoms are Tb at (0.0000, 0.0000, 0.1131), Pd at (0.0000, 0.0000, 0.3538), Pd at (0.0000, 0.5000, 0.2500) and Au at (0.0000, 0.0000, 0.5000).

The total energy comes out at -76.683 eV for the cell shown. The calculated volume comes out at 287.7 Å³ per cell. The formation energy is -0.719 eV/atom.